No. 1
! PBE Tm4MgAu, optimized geometry; values from VASP
! - energy of formation from the pure elements (eV per atom) = -0.0893
! - total magnetic moment (μB/f.u.) = 0.0
! - SG = Cmc2_1, No. 36
! - E (eV per cell) = -46.59
! - N(E_F) (states/eV per atom) = 1.378
&SYSTEM
  ibrav = 0, nat = 12, ntyp = 3
/
ATOMIC_SPECIES
Tm 168.93 Tm.upf
Mg 24.30 Mg.upf
Au 196.97 Au.upf
ATOMIC_POSITIONS angstrom
Tm 2.7147 9.0401 3.2441
Tm 2.7147 6.1586 5.0780
Tm 2.7147 5.9411 1.9205
Tm 2.7147 2.5193 3.5938
Tm 2.7147 -2.5193 0.3497
Tm 2.7147 -5.9411 5.1647
Tm 2.7147 -6.1586 1.8339
Tm 2.7147 -9.0401 0.0000
Mg 2.7147 3.1136 0.2932
Mg 2.7147 -3.1136 3.5373
Au 2.7147 8.5548 0.0316
Au 2.7147 -8.5548 3.2757
CELL_PARAMETERS angstrom
2.7147 -10.1843 0.0000
2.7147 10.1843 0.0000
0.0000 0.0000 6.4883



No. 2
! PBE MgCu2Cl, optimized geometry; values from VASP
! - total magnetic moment (μB/f.u.) = 0.0
! - SG = P2/m, No. 10
! - raw formation energy (eV/atom) = -0.016
! - E (eV per cell) = -11.70
! - N(E_F) (states/eV per atom) = 0.487
&SYSTEM
  ibrav = 0, nat = 4, ntyp = 3
/
ATOMIC_SPECIES
Mg 24.30 Mg.upf
Cu 63.55 Cu.upf
Cl 35.45 Cl.upf
ATOMIC_POSITIONS angstrom
Mg 0.0000 0.0000 0.0000
Cu 0.8811 2.2792 0.9723
Cu 0.9195 2.2792 3.9492
Cl 0.9003 0.0000 2.4608
CELL_PARAMETERS angstrom
3.1230 0.0000 0.0000
0.0000 4.5584 0.0000
-1.3224 0.0000 4.9215



No. 3
! PBE Sr2Al5Ag4, optimized geometry; values from VASP
! - energy of formation from the pure elements (eV per atom) = -0.1253
! - total magnetic moment (μB/f.u.) = 0.0
! - SG = C2/m, No. 12
! - E (eV per cell) = -34.86
! - N(E_F) (states/eV per atom) = 0.436
&SYSTEM
  ibrav = 0, nat = 11, ntyp = 3
/
ATOMIC_SPECIES
Sr 87.62 Sr.upf
Al 26.98 Al.upf
Ag 107.87 Ag.upf
ATOMIC_POSITIONS angstrom
Sr 1.3642 0.0000 1.8586
Sr 6.3721 0.0000 5.0978
Al 4.7698 1.3727 1.6845
Al 2.9665 1.3727 5.2719
Al 6.5644 0.0000 0.0000
Al 4.7698 -1.3727 1.6845
Al 2.9665 -1.3727 5.2719
Ag -1.3194 0.0000 3.8369
Ag -1.6151 0.0000 6.5657
Ag 9.3515 0.0000 0.3907
Ag 9.0557 0.0000 3.1195
CELL_PARAMETERS angstrom
6.5644 -2.7883 0.0000
6.5644 2.7883 0.0000
-5.3924 0.0000 6.9564